# 1
First-principles (PBE) data for a geometry-optimized Pu2SbAs structure, as listed in Alexandria.

Values from the calculation:
Total magnetization   11.162 μB per cell
Formation energy (no corrections)   -0.716 eV per atom
SG   P4/mmm
Total energy   -10.08 eV/atom
Volume   24.06 Å³/atom

Cell: 3.8931 3.8931 6.3504 Å, 90.00 90.00 90.00°
Positions (direct):
Sb 0.5000 0.5000 0.5000
As 0.5000 0.5000 0.0000
Pu 0.0000 0.0000 0.7636
Pu 0.0000 0.0000 0.2364

# 2
First-principles (PBE) data for a geometry-optimized NdGaF structure, as listed in Alexandria.

Values from the calculation:
Total magnetization   0.000 μB per cell
Formation energy (no corrections)   -2.065 eV per atom
SG   Cmcm
Total energy   -5.29 eV/atom
Volume   19.56 Å³/atom
Excess energy over the best structure of this formula in the dataset   0.0 meV/atom

Cell: 4.1534 7.7386 3.7644 Å, 75.94 90.00 90.00°
Positions (direct):
F 0.7500 0.4952 0.2524
F 0.2500 0.5048 0.7476
Nd 0.7500 0.2860 0.8569
Nd 0.2500 0.7140 0.1431
Ga 0.7500 0.9074 0.5469
Ga 0.2500 0.0926 0.4531

Q: Look up the formation energy (no corrections) of the second one.
A: -2.065 eV per atom